A plane-wave DFT calculation with GGA+U was carried out for an optimized crystal structure of FeIr2F2.

Values from the calculation:
The total DFT energy (no corrections) is -52.25 eV for the cell shown. The crystal system is tetragonal. The calculation puts the total magnetic moment at 3.7 μB per formula unit. The relative energy among the computed polymorphs comes out at 0.000 eV per atom.

a b c (Å): 7.230 7.230 2.812
angles (deg): 90.00 90.00 90.00
Element x y z (fractional)
Fe  0.000  0.000  0.000
Fe  0.500  0.500  0.000
Ir  0.114  0.386  0.000
Ir  0.386  0.886  0.000
Ir  0.614  0.114  0.000
Ir  0.886  0.614  0.000
F  0.226  0.726  0.500
F  0.274  0.226  0.500
F  0.726  0.774  0.500
F  0.774  0.274  0.500